No. 1
Entry from Alexandria via LeMat-Bulk: a relaxed TlHg2 crystal (PBE).

The calculation puts the density at 9.93 g/cm3. The energy of formation from the pure elements is 9.1 kJ/mol of atoms. The crystal system is cubic. The spin magnetization is 0.0000 μB per atom. As for the energy above the most stable polymorph in this dataset: 0.116 eV/atom.

a b c (Å): 7.3981 7.3981 7.3981
angles (deg): 90.00 90.00 90.00
With the nearest neighbours (Å) after each atom.
Space group Pa-3 (No. 205)
Asymmetric unit:
Tl1 0.0000 0.0000 0.0000 x4  6 Hg 3.08
Hg1 0.1207 0.6207 0.8793 x8  3 Tl 3.08, 1 Hg 3.09

=====

No. 2
Entry from Alexandria via LeMat-Bulk: a relaxed TlHg crystal (PBE).

The calculation puts the density at 8.76 g/cm3. The energy of formation from the pure elements is 9.2 kJ/mol of atoms. The crystal system is hexagonal. The spin magnetization is 0.0000 μB per atom.

a b c (Å): 5.3399 5.3399 6.2193
angles (deg): 90.00 90.00 120.00
With the nearest neighbours (Å) after each atom.
Space group P6_3/mmc (No. 194)
Asymmetric unit:
Tl1 0.3333 0.6667 0.2500 x2  5 Hg 3.08-3.11
Hg1 0.3333 0.6667 0.7500 x2  5 Tl 3.08-3.11

=====

No. 3
Entry from Alexandria via LeMat-Bulk: a relaxed Tl2Hg17 crystal (PBE).

The calculation puts the density at 11.34 g/cm3. The energy of formation from the pure elements is 1.3 kJ/mol of atoms. The crystal system is trigonal. The spin magnetization is 0.0000 μB per atom.

a b c (Å): 9.9319 9.9319 19.6423
angles (deg): 90.00 90.00 120.00
With the nearest neighbours (Å) after each atom.
Space group R-3m (No. 166, hexagonal axes)
Asymmetric unit:
Tl1 0.0000 0.0000 0.1983 x6  15 Hg 3.51-3.91
Hg1 0.0000 0.0000 0.4097 x6  10 Hg 3.24-3.55
Hg2 0.0000 0.3055 0.5000 x18  4 Hg 3.03-3.11
Hg3 0.0000 0.5000 0.0000 x9  6 Hg 3.20-3.24
Hg4 0.0461 0.5230 0.6225 x18  6 Hg 3.02-3.20

=====

No. 4
Entry from Alexandria via LeMat-Bulk: a relaxed TlHg crystal (PBE).

The calculation puts the density at 11.44 g/cm3. The energy of formation from the pure elements is -0.6 kJ/mol of atoms. The crystal system is orthorhombic. The spin magnetization is 0.0000 μB per atom.

a b c (Å): 10.3618 10.4589 6.5116
angles (deg): 90.00 90.00 90.00
With the nearest neighbours (Å) after each atom.
Space group Pbcm (No. 57)
Asymmetric unit:
Tl1 0.1145 0.0539 0.2500 x4  7 Hg 3.16-3.46
Tl2 0.3391 0.6128 0.2500 x4  7 Hg 3.17-3.44
Tl3 0.3808 0.2500 0.0000 x4  4 Tl 3.26-3.62, 4 Hg 3.31-3.43
Hg1 0.1038 0.7500 0.0000 x4  4 Hg 3.26-3.30, 6 Tl 3.26-3.57
Hg2 0.1378 0.1160 0.7500 x4  7 Tl 3.16-3.46, 2 Hg 3.30
Hg3 0.3977 0.5632 0.7500 x4  7 Tl 3.18-3.44